Pa2AgMoO8 after structural relaxation, computed with PBE+U.

The electronic total energy comes out at -197.2 eV/cell.

It has space group I-4 (No. 82), with a = 5.4408 Å, b = 5.4408 Å, c = 10.9883 Å, α = 90.00°, β = 90.00° and γ = 90.00°. The inequivalent atoms are Pa at (0.0000, 0.0000, 0.0000), Pa at (0.0000, 0.5000, 0.2500), Ag at (0.0000, 0.0000, 0.5000), Mo at (0.0000, 0.5000, 0.7500), O at (0.1796, 0.2867, 0.1046) and O at (0.1894, 0.2714, 0.8399).